(1)
{
  "formula": "ReNiSe2",
  "functional": "SCAN",
  "state": "PBEsol geometry",
  "cell": [[3.0951, 0.0000, 0.0000], [1.5475, 2.6804, 0.0000], [1.5475, 0.8935, 8.0013]],
  "species": ["Se", "Se", "Re", "Ni"],
  "frac_coords": [[0.9078, 0.9078, 0.2767], [0.0922, 0.0922, 0.7233], [0.5000, 0.5000, 0.5000], [0.0000, 0.0000, 0.0000]],
  "e_above_lowest_polymorph_ev_per_fu": 0.00,
  "space_group": "No. 166",
  "raw_formation_energy_ev_per_fu": 1.47,
  "dos_ef_per_ev_atom": 0.8200
}

(2)
{
  "formula": "Re2NiSe",
  "functional": "SCAN",
  "state": "PBEsol geometry",
  "cell": [[4.2665, 0.0000, 0.0000], [0.0000, 4.2665, 0.0000], [0.0000, 0.0000, 2.9372]],
  "species": ["Se", "Re", "Re", "Ni"],
  "frac_coords": [[0.5000, 0.5000, 0.5000], [0.5000, 0.0000, 0.0000], [0.0000, 0.5000, 0.0000], [0.0000, 0.0000, 0.5000]],
  "space_group": "No. 123",
  "raw_formation_energy_ev_per_fu": 2.30,
  "dos_ef_per_ev_atom": 0.8223
}

(3)
{
  "formula": "ReNiSe2",
  "functional": "SCAN",
  "state": "PBEsol geometry",
  "cell": [[2.6226, 0.0000, 0.0000], [0.0000, 5.0263, -0.0757], [0.0000, -1.3086, 4.8536]],
  "species": ["Re", "Se", "Se", "Ni"],
  "frac_coords": [[0.0000, 0.0000, 0.0000], [0.0000, 0.5000, 0.0000], [0.0000, 0.0000, 0.5000], [0.0000, 0.5000, 0.5000]],
  "e_above_lowest_polymorph_ev_per_fu": 1.38,
  "space_group": "No. 65",
  "raw_formation_energy_ev_per_fu": 2.85,
  "dos_ef_per_ev_atom": 0.8736
}